(1)
TmMgAu | GGA-PBE | relaxed Values from VASP.

Structure (Quantum ESPRESSO input):
```
&SYSTEM
  ibrav = 0, nat = 3, ntyp = 3
/
ATOMIC_SPECIES
Au 196.97 Au.upf
Mg 24.30 Mg.upf
Tm 168.93 Tm.upf
CELL_PARAMETERS angstrom
-3.021 0.616 1.699
1.649 -2.281 3.760
0.698 4.624 -0.434
ATOMIC_POSITIONS angstrom
Au -0.504 0.103 0.284
Mg 0.512 2.425 1.246
Tm -0.681 0.431 3.494
```

Output
- Space group: P-6m2
- E_form: -501.2 meV per atom
- Crystal system: hexagonal
- DOS(E_F): 3.122 states/eV/cell

***

(2)
TmMg4Au5 | GGA-PBE | relaxed Values from VASP.

Structure (Quantum ESPRESSO input):
```
&SYSTEM
  ibrav = 0, nat = 10, ntyp = 3
/
ATOMIC_SPECIES
Tm 168.93 Tm.upf
Au 196.97 Au.upf
Mg 24.30 Mg.upf
CELL_PARAMETERS angstrom
3.391 0.000 0.000
0.000 3.391 0.000
0.000 0.000 16.486
ATOMIC_POSITIONS angstrom
Tm 0.000 0.000 0.000
Au 1.696 1.696 8.243
Au 1.696 1.696 11.417
Mg 0.000 0.000 13.008
Mg 0.000 0.000 6.663
Au 1.696 1.696 1.851
Mg 0.000 0.000 3.478
Au 1.696 1.696 5.069
Mg 0.000 0.000 9.823
Au 1.696 1.696 14.634
```

Output
- Space group: P4/mmm
- E_form: -664.6 meV per atom
- Crystal system: tetragonal
- DOS(E_F): 3.691 states/eV/cell

***

(3)
Tm2MgAu | GGA-PBE | relaxed Values from VASP.

Structure (Quantum ESPRESSO input):
```
&SYSTEM
  ibrav = 0, nat = 4, ntyp = 3
/
ATOMIC_SPECIES
Au 196.97 Au.upf
Tm 168.93 Tm.upf
Mg 24.30 Mg.upf
CELL_PARAMETERS angstrom
-0.364 -4.895 -1.475
3.464 -1.970 -3.225
3.402 -3.444 1.684
ATOMIC_POSITIONS angstrom
Au 0.000 0.000 0.000
Tm 4.876 -7.732 -2.262
Tm 1.625 -2.577 -0.754
Mg 3.251 -5.155 -1.508
```

Output
- E above lowest polymorph: 0.056 eV/atom
- Space group: Fm-3m
- E_form: -420.6 meV per atom
- Crystal system: cubic
- DOS(E_F): 4.586 states/eV/cell

***

(4)
TmMg2Au | GGA-PBE | relaxed Values from VASP.

Structure (Quantum ESPRESSO input):
```
&SYSTEM
  ibrav = 0, nat = 4, ntyp = 3
/
ATOMIC_SPECIES
Mg 24.30 Mg.upf
Au 196.97 Au.upf
Tm 168.93 Tm.upf
CELL_PARAMETERS angstrom
-1.139 -1.190 -2.969
2.834 -1.836 -0.351
-3.374 -5.911 3.663
ATOMIC_POSITIONS angstrom
Mg -2.698 -4.727 2.929
Mg -0.676 -1.184 0.734
Au 0.848 -1.513 -1.660
Tm -0.839 -4.468 0.171
```

Output
- Space group: P4/mmm
- E_form: -321.5 meV per atom
- Crystal system: tetragonal
- DOS(E_F): 3.257 states/eV/cell